H2Ir2Rh | PBE-GGA | optimized geometry

a = 3.487 Å, b = 3.487 Å, c = 4.783 Å
α = 68.62°, β = 68.62°, γ = 90.00°
Fractional coordinates of all 5 atoms:
Rh: 0.000 0.000 0.000
Ir: 0.340 0.340 0.321
Ir: 0.660 0.660 0.679
H: 0.750 0.250 0.500
H: 0.250 0.750 0.500

Summary:
**N(E_F)**: 0.810 states/eV per atom
**Excess energy over the best structure of this formula in the dataset**: 0.092 eV per atom
**Spin magnetization**: 0.0000 μB per atom
**V**: 9.968 A^3/atom
**Space-group type**: I4/mmm, No. 139